Density functional theory data (PBE-GGA) for a relaxed structure of SmDy3Y2As6.

Cell: 7.1646 7.1646 7.1654 Å, 99.58 99.58 119.99°
Fractional coordinates of all 12 atoms:
Sm 0.0000 0.0000 0.0000
Dy 0.1660 0.8340 0.5000
Dy 0.8340 0.1660 0.5000
Dy 0.5000 0.5000 0.5000
Y 0.3331 0.6669 0.0000
Y 0.6669 0.3331 0.0000
As 0.9158 0.5796 0.7474
As 0.7479 0.7479 0.2521
As 0.0842 0.4204 0.2526
As 0.5796 0.9158 0.7474
As 0.2521 0.2521 0.7479
As 0.4204 0.0842 0.2526

crystal system: monoclinic
electronic total energy: -77.8 eV per cell
E_form: -1.5401 eV/atom
space group: C2/m, No. 12


Density functional theory data (PBE-GGA) for a relaxed structure of CeHoRh4.

Cell: 5.3446 5.3446 5.3446 Å, 60.00 60.00 60.00°
Fractional coordinates of all 6 atoms:
Rh 0.6247 0.6247 0.1258
Rh 0.6247 0.1258 0.6247
Rh 0.6247 0.6247 0.6247
Rh 0.1258 0.6247 0.6247
Ho 0.2500 0.2500 0.2500
Ce 0.0000 0.0000 0.0000

crystal system: cubic
electronic total energy: -44.2 eV per cell
E_form: -0.7178 eV/atom
space group: F-43m, No. 216


Density functional theory data (PBE-GGA) for a relaxed structure of Dy3HoTm7.

Cell: 8.4823 6.9427 6.9427 Å, 120.00 90.00 90.00°
Fractional coordinates of all 11 atoms:
Dy 0.7836 0.5001 0.4999
Dy 0.7836 0.5001 0.0002
Dy 0.7836 0.9998 0.4999
Ho 0.4470 0.3333 0.6667
Tm 0.1187 0.1676 0.8324
Tm 0.1187 0.1676 0.3353
Tm 0.1194 0.6667 0.3333
Tm 0.4472 0.8323 0.1677
Tm 0.4472 0.3353 0.1677
Tm 0.4472 0.8323 0.6647
Tm 0.1187 0.6647 0.8324

crystal system: trigonal
electronic total energy: -47.5 eV per cell
distance to the lowest polymorph of the same formula: 0.033 eV/atom
E_form: 0.1953 eV/atom
space group: P3m1, No. 156


Density functional theory data (PBE-GGA) for a relaxed structure of NbCrNiW2.

Cell: 4.5815 4.0414 4.5815 Å, 90.00 90.00 90.00°
Fractional coordinates of all 5 atoms:
Ni 0.0000 0.0000 0.0000
Nb 0.5000 0.5000 0.5000
W 0.0000 0.0000 0.5000
W 0.5000 0.0000 0.0000
Cr 0.0000 0.5000 0.0000

crystal system: tetragonal
electronic total energy: -45.0 eV per cell
E_form: 1.2860 eV/atom
space group: P4/mmm, No. 123


Density functional theory data (PBE-GGA) for a relaxed structure of Li4CaAc2Ge3.

Cell: 4.5248 4.5248 11.3383 Å, 90.00 90.00 90.00°
Fractional coordinates of all 10 atoms:
Li 0.5000 0.5000 0.0000
Li 0.0000 0.0000 0.0000
Li 0.5000 0.0000 0.6491
Li 0.0000 0.5000 0.3509
Ca 0.5000 0.5000 0.5000
Ac 0.5000 0.0000 0.2152
Ac 0.0000 0.5000 0.7848
Ge 0.0000 0.0000 0.5000
Ge 0.5000 0.0000 0.8708
Ge 0.0000 0.5000 0.1292

crystal system: tetragonal
electronic total energy: -36.1 eV per cell
E_form: -0.4391 eV/atom
space group: P-4m2, No. 115


Density functional theory data (PBE-GGA) for a relaxed structure of K2LaCl.

Cell: 6.2619 6.2619 6.2619 Å, 60.00 60.00 60.00°
Fractional coordinates of all 4 atoms:
K 0.0000 0.0000 0.0000
K 0.2500 0.2500 0.2500
Cl 0.5000 0.5000 0.5000
La 0.7500 0.7500 0.7500

crystal system: cubic
electronic total energy: -8.8 eV per cell
distance to the lowest polymorph of the same formula: 0.730 eV/atom
space group: F-43m, No. 216


Question: The highest electronic total energy belongs to which entry?
Answer: K2LaCl